This record from Alexandria via LeMat-Bulk describes a relaxed structure of LiHfCr2O6. The functional is PBE+U.

The value obtained for the calculated total energy is -7.94 eV per atom. Its crystal system is triclinic. The calculation puts the total magnetization at 0.5000 μB/atom.

The space group is P1 (No. 1) and the conventional cell measures 5.141, 5.143 and 5.443 Å, with angles of 117.32, 90.74 and 119.20 degrees. The distinct sites, in fractional coordinates, are Li at (0.000, 0.000, 0.000), Hf at (0.511, 0.003, 0.502), Cr at (0.214, 0.427, 0.632), Cr at (0.713, 0.423, 0.128), O at (0.103, 0.531, 0.351), O at (0.343, 0.275, 0.834), O at (0.441, 0.270, 0.354), O at (0.581, 0.920, 0.837), O at (0.833, 0.922, 0.347) and O at (0.941, 0.504, 0.829).